[1]
Crystalline NaLuTlZn at its relaxed geometry, computed with PBE.

```
4
Lattice="-4.2379 1.3640 -2.5113 -4.0111 -3.1646 -0.1518 -4.2537 1.1392 2.5952" Properties=species:S:1:pos:R:3 pbc="T T T"
Na -3.1257 -0.1654 -0.0170
Tl -6.2514 -0.3307 -0.0340
Lu -9.3771 -0.4961 -0.0510
Zn 0.0000 0.0000 0.0000
```

ΔH_f (0 K) in eV/atom: -0.10
Space-group type: No. 216
Crystal system: cubic

---

[2]
Crystalline Be3IrPd at its relaxed geometry, computed with PBE.

```
5
Lattice="-3.3208 -2.3060 0.2102 1.4545 -1.7913 3.3264 -1.8017 2.8040 2.2979" Properties=species:S:1:pos:R:3 pbc="T T T"
Be 0.7272 -0.8957 1.6632
Be -0.9009 1.4020 1.1489
Be -1.6604 -1.1530 0.1051
Ir -1.8340 -0.6466 2.9172
Pd 0.0000 0.0000 0.0000
```

Offset from the most stable computed form in meV per atom: 328
ΔH_f (0 K) in eV/atom: 0.61
Space-group type: No. 221
Crystal system: cubic

---

[3]
Crystalline Cr2SbRh at its relaxed geometry, computed with PBE.

```
4
Lattice="-0.0894 4.1415 1.4826 -2.2869 3.0661 -2.1743 -3.6957 1.6344 1.7403" Properties=species:S:1:pos:R:3 pbc="T T T"
Cr 0.0000 0.0000 0.0000
Cr -1.5180 2.2105 0.2621
Rh -3.0360 4.4210 0.5243
Sb -4.5540 6.6315 0.7864
```

Space-group type: No. 216
Formation energy (no corrections) in eV/atom: 0.019
Crystal system: cubic

---

[4]
Crystalline AgBiAu at its relaxed geometry, computed with PBE.

```
6
Lattice="-4.0213 1.1006 -0.8258 -0.5911 -3.6861 -2.0317 -2.2016 -3.2030 6.4519" Properties=species:S:1:pos:R:3 pbc="T T T"
Ag -1.4487 -2.4894 -1.7302
Ag -3.1637 -0.0961 -1.1273
Bi -4.1994 -3.0158 0.0256
Bi -2.6147 -2.7727 3.5688
Au -1.7392 -1.4990 1.0031
Au -5.0749 -4.2895 2.5913
```

Offset from the most stable computed form in meV per atom: 0
ΔH_f (0 K) in eV/atom: -0.01
Space-group type: No. 129
Crystal system: tetragonal

---

[5]
Crystalline CaTe2Ru at its relaxed geometry, computed with PBE.

```
4
Lattice="-0.7250 -2.3555 3.1548 -1.4782 -2.8103 -2.4380 5.5672 -2.4508 -0.5504" Properties=species:S:1:pos:R:3 pbc="T T T"
Ru 3.4994 -4.6083 -0.0965
Ca 2.4881 -1.0953 -0.2460
Te 5.1737 -2.2775 -0.5115
Te 0.5536 -3.3115 0.1947
```

Offset from the most stable computed form in meV per atom: 422
Space-group type: No. 99
Formation energy (no corrections) in eV/atom: -0.289
Crystal system: tetragonal

---

[6]
Crystalline Nd6DyTl4 at its relaxed geometry, computed with PBE.

```
11
Lattice="-0.7322 8.5956 -4.4638 -3.2979 -9.1069 -0.7301 -3.7238 -4.8423 7.5519" Properties=species:S:1:pos:R:3 pbc="T T T"
Nd -4.6680 -10.4814 2.6752
Nd -4.8694 -8.4653 6.5905
Nd -0.9794 3.3534 -1.7771
Nd -2.2280 1.8767 1.5441
Nd -4.2589 -3.7095 1.6911
Nd -2.0151 -0.2557 -2.5969
Dy 0.0000 0.0000 0.0000
Tl -2.6792 -4.0026 4.6349
Tl -2.9932 -1.0869 0.4058
Tl -2.4592 -6.2053 0.3572
Tl -6.6441 -8.0080 3.7819
```

ΔH_f (0 K) in eV/atom: -0.17
Space-group type: No. 121
Crystal system: tetragonal

---

Number 1: mass density 8.23 g cm⁻³, total magnetization 0.00 μB/atom. Number 2: mass density 8.15 g cm⁻³, total magnetization 0.00 μB/atom. Number 3: mass density 9.06 g cm⁻³, total magnetization 0.51 μB/atom. Number 4: mass density 12.54 g cm⁻³, total magnetization 0.00 μB/atom. Number 5: mass density 6.72 g cm⁻³, total magnetization 0.15 μB/atom. Number 6: mass density 8.27 g cm⁻³, total magnetization 0.11 μB/atom.